Here is crystalline NaHfTl at its relaxed geometry from Alexandria via LeMat-Bulk. Energies are from GGA-PBE. Values from VASP.

```
&SYSTEM
  ibrav = 0, nat = 6, ntyp = 3
/
ATOMIC_SPECIES
Na 22.99 Na.upf
Tl 204.38 Tl.upf
Hf 178.49 Hf.upf
ATOMIC_POSITIONS crystal
Na 0.000 0.500 0.246
Na 0.500 0.000 0.754
Tl 0.000 0.000 0.500
Tl 0.500 0.500 0.500
Hf 0.000 0.500 0.969
Hf 0.500 0.000 0.031
CELL_PARAMETERS angstrom
4.057 0.000 0.000
0.000 4.057 0.000
0.000 0.000 11.794
```

## Properties
uncorrected energy: -3.948 eV/atom
energy relative to the lowest polymorph listed for this composition: 609 meV/atom